Computed, not measured: a relaxed Al2CdPd9 crystal at the PBE level of DFT.

a = 3.954 Å, b = 3.954 Å, c = 11.811 Å
α = 90.00°, β = 90.00°, γ = 90.00°
Element x y z (fractional)
Al 0.000 0.000 0.335
Al 0.000 0.000 0.665
Cd 0.000 0.000 0.000
Pd 0.500 0.500 0.000
Pd 0.500 0.500 0.339
Pd 0.500 0.500 0.661
Pd 0.500 0.000 0.178
Pd 0.500 0.000 0.500
Pd 0.500 0.000 0.822
Pd 0.000 0.500 0.178
Pd 0.000 0.500 0.500
Pd 0.000 0.500 0.822

Results
* calculated volume: 184.6 Å³/cell
* E_form: -0.479 eV per atom
* crystal system: tetragonal
* total energy: -60.88 eV/cell